Material: KFePd
Method: DFT, GGA-PBE
State: relaxed

Geometry as extended XYZ:
```
3
Lattice="0.000 3.349 3.349 3.349 0.000 3.349 3.349 3.349 0.000" Properties=species:S:1:pos:R:3 pbc="T T T"
K 0.000 0.000 0.000
Fe 3.349 3.349 3.349
Pd 5.024 5.024 5.024
```

Properties
Energy above the most stable polymorph in this dataset = 0.0 meV per atom
Density = 4.45 g/cm3
VASP energy = -11.704 eV/cell
Space-group type = No. 216